GaSnPt: optimized geometry, GGA-PBE.

a = 4.486 Å, b = 4.073 Å, c = 4.073 Å
α = 120.00°, β = 90.00°, γ = 90.00°
Atoms (fractional coordinates):
Ga1 0.256 0.333 0.667
Sn1 0.705 0.667 0.333
Pt1 0.039 0.000 0.000

Summary:
Final energy, eV/atom: -4.630
ΔH_f (0 K), meV per atom: -273.1